{"formula": "Tb3Pm2Pr8", "functional": "PBE", "state": "optimized geometry", "n_ef_per_ev_cell": 21.140, "formation_energy_mev_per_atom": 157, "lattice": [[6.137, 0.742, 0.437], [-0.836, 10.377, -5.883], [2.352, -1.878, 8.506]], "species": ["Tb", "Tb", "Tb", "Pm", "Pm", "Pr", "Pr", "Pr", "Pr", "Pr", "Pr", "Pr", "Pr"], "frac_coords": [[0.500, 0.000, 0.000], [0.000, 0.265, 0.000], [0.000, 0.735, 0.000], [0.658, 0.692, 0.385], [0.342, 0.308, 0.615], [0.761, 0.417, 0.833], [0.239, 0.583, 0.167], [0.096, 0.860, 0.721], [0.904, 0.140, 0.279], [0.341, 0.923, 0.328], [0.341, 0.404, 0.328], [0.659, 0.596, 0.672], [0.659, 0.077, 0.672]]}

---

{"formula": "HfSbTeI2", "functional": "PBE", "state": "optimized geometry", "n_ef_per_ev_cell": 6.360, "formation_energy_uncorrected_ev_per_atom": 1.063, "lattice": [[5.774, 0.000, 0.000], [0.000, 5.774, 0.000], [0.000, 0.000, 6.023]], "species": ["I", "I", "Sb", "Te", "Hf"], "frac_coords": [[0.000, 0.500, 0.000], [0.500, 0.000, 0.000], [0.000, 0.000, 0.500], [0.000, 0.000, 0.000], [0.500, 0.500, 0.500]]}

---

{"formula": "Rb3Hg4Pd", "functional": "PBE", "state": "optimized geometry", "n_ef_per_ev_cell": 2.681, "formation_energy_mev_per_atom": 10, "lattice": [[6.692, 0.000, -2.366], [-3.346, 5.796, -2.366], [0.000, 0.000, 7.098]], "species": ["Pd", "Hg", "Hg", "Hg", "Hg", "Rb", "Rb", "Rb"], "frac_coords": [[0.000, 0.000, 0.000], [0.000, 0.000, 0.500], [0.500, 0.500, 0.500], [0.500, 0.000, 0.000], [0.000, 0.500, 0.000], [0.000, 0.500, 0.500], [0.500, 0.000, 0.500], [0.500, 0.500, 0.000]]}

---

{"formula": "Co3BPb", "functional": "PBE", "state": "optimized geometry", "n_ef_per_ev_cell": 8.541, "formation_energy_mev_per_atom": 2484, "lattice": [[-3.798, 2.432, -1.768], [-2.902, -2.222, 3.179], [0.785, 3.552, 3.199]], "species": ["Pb", "B", "Co", "Co", "Co"], "frac_coords": [[0.000, 0.000, 0.000], [0.500, 0.500, 0.500], [0.000, 0.500, 0.000], [0.000, 0.000, 0.500], [0.500, 0.000, 0.000]]}

---

{"formula": "Tl8HgSb6", "functional": "PBE", "state": "optimized geometry", "n_ef_per_ev_cell": 4.962, "formation_energy_uncorrected_ev_per_atom": 0.067, "lattice": [[0.239, 4.723, 6.565], [-5.928, -2.598, 4.855], [3.587, -4.373, 5.786]], "species": ["Tl", "Tl", "Tl", "Tl", "Tl", "Tl", "Tl", "Tl", "Hg", "Sb", "Sb", "Sb", "Sb", "Sb", "Sb"], "frac_coords": [[0.054, 0.654, 0.773], [0.227, 0.946, 0.346], [0.346, 0.227, 0.946], [0.593, 0.593, 0.593], [0.407, 0.407, 0.407], [0.654, 0.773, 0.054], [0.773, 0.054, 0.654], [0.946, 0.346, 0.227], [0.000, 0.000, 0.000], [0.034, 0.323, 0.629], [0.371, 0.966, 0.677], [0.677, 0.371, 0.966], [0.323, 0.629, 0.034], [0.629, 0.034, 0.323], [0.966, 0.677, 0.371]]}

---

{"formula": "LiSi2Ru", "functional": "PBE", "state": "optimized geometry", "n_ef_per_ev_cell": 0.366, "formation_energy_uncorrected_ev_per_atom": -0.310, "lattice": [[-2.889, 3.542, -1.450], [-4.468, 1.732, 0.173], [1.083, 2.027, 3.315]], "species": ["Li", "Ru", "Si", "Si"], "frac_coords": [[0.529, 0.529, 0.596], [0.228, 0.228, 0.164], [0.954, 0.954, 0.096], [0.789, 0.789, 0.644]]}

---

{"formula": "Li2ThTcO6", "functional": "PBE", "state": "optimized geometry", "n_ef_per_ev_cell": 0.331, "formation_energy_uncorrected_ev_per_atom": -2.162, "lattice": [[-4.301, -1.268, -0.349], [0.780, -1.079, -5.691], [1.520, -5.503, 1.252]], "species": ["Li", "Li", "Th", "Tc", "O", "O", "O", "O", "O", "O"], "frac_coords": [[0.890, 0.500, 0.000], [0.890, 0.000, 0.500], [0.652, 0.500, 0.500], [0.624, 0.000, 0.000], [0.744, 0.223, 0.223], [0.744, 0.223, 0.777], [0.168, 0.500, 0.500], [0.246, 0.000, 0.000], [0.744, 0.777, 0.777], [0.744, 0.777, 0.223]]}

---

{"formula": "Ho3TlIn", "functional": "PBE", "state": "optimized geometry", "n_ef_per_ev_cell": 8.445, "formation_energy_mev_per_atom": -322, "lattice": [[4.885, 0.000, 1.116], [0.000, 5.011, 0.000], [-0.023, 0.000, 11.350]], "species": ["Ho", "Ho", "Ho", "Ho", "Ho", "Ho", "Tl", "Tl", "In", "In"], "frac_coords": [[0.767, 0.250, 0.113], [0.381, 0.250, 0.886], [0.574, 0.250, 0.500], [0.267, 0.750, 0.114], [0.881, 0.750, 0.887], [0.074, 0.750, 0.500], [0.477, 0.750, 0.694], [0.171, 0.250, 0.306], [0.670, 0.750, 0.308], [0.978, 0.250, 0.692]]}

---

{"formula": "Ca2TbTmSe4", "functional": "PBE", "state": "optimized geometry", "n_ef_per_ev_cell": 3.443, "formation_energy_uncorrected_ev_per_atom": -1.858, "lattice": [[-3.816, -0.724, 1.305], [0.581, -6.765, -2.056], [2.225, 0.596, 6.838]], "species": ["Ca", "Ca", "Tb", "Tm", "Se", "Se", "Se", "Se"], "frac_coords": [[0.500, 0.000, 0.500], [0.000, 0.500, 0.500], [0.500, 0.500, 0.000], [0.000, 0.000, 0.000], [0.500, 0.244, 0.243], [0.500, 0.756, 0.757], [0.000, 0.248, 0.755], [0.000, 0.752, 0.245]]}

---

{"formula": "KCaCeBr6", "functional": "PBE", "state": "optimized geometry", "n_ef_per_ev_cell": 16.385, "formation_energy_uncorrected_ev_per_atom": -1.892, "lattice": [[7.592, 0.000, 0.000], [-3.796, 6.575, 0.000], [0.000, 0.000, 14.355]], "species": ["K", "K", "Ca", "Ca", "Ce", "Ce", "Br", "Br", "Br", "Br", "Br", "Br", "Br", "Br", "Br", "Br", "Br", "Br"], "frac_coords": [[0.000, 0.000, 0.000], [0.000, 0.000, 0.500], [0.333, 0.667, 0.250], [0.667, 0.333, 0.750], [0.667, 0.333, 0.250], [0.333, 0.667, 0.750], [0.633, 0.634, 0.135], [0.001, 0.367, 0.135], [0.367, 0.001, 0.635], [0.999, 0.633, 0.865], [0.366, 0.367, 0.365], [0.001, 0.634, 0.365], [0.634, 0.001, 0.865], [0.633, 0.999, 0.365], [0.999, 0.366, 0.635], [0.366, 0.999, 0.135], [0.634, 0.633, 0.635], [0.367, 0.366, 0.865]]}

---

{"formula": "Sr2LaRhO5", "functional": "PBE", "state": "optimized geometry", "formation_energy_uncorrected_ev_per_atom": -2.077, "lattice": [[-2.056, 1.798, 6.003], [4.127, -4.365, 2.721], [3.443, 5.658, -4.138]], "species": ["Sr", "Sr", "Sr", "Sr", "La", "La", "Rh", "Rh", "O", "O", "O", "O", "O", "O", "O", "O", "O", "O"], "frac_coords": [[0.170, 0.330, 0.000], [0.670, 0.170, 0.000], [0.330, 0.830, 0.000], [0.830, 0.670, 0.000], [0.250, 0.250, 0.500], [0.750, 0.750, 0.500], [0.250, 0.750, 0.500], [0.750, 0.250, 0.500], [0.993, 0.493, 0.276], [0.717, 0.217, 0.724], [0.007, 0.507, 0.724], [0.217, 0.007, 0.724], [0.507, 0.717, 0.724], [0.783, 0.993, 0.276], [0.493, 0.283, 0.276], [0.283, 0.783, 0.276], [0.500, 0.500, 0.000], [0.000, 0.000, 0.000]]}

---

{"formula": "TbPr2Ga3Pt4", "functional": "PBE", "state": "optimized geometry", "n_ef_per_ev_cell": 7.056, "formation_energy_mev_per_atom": -974, "lattice": [[4.300, 0.000, 0.000], [0.000, 4.300, 0.000], [0.000, 0.000, 11.369]], "species": ["Tb", "Pr", "Pr", "Ga", "Ga", "Ga", "Pt", "Pt", "Pt", "Pt"], "frac_coords": [[0.500, 0.500, 0.500], [0.500, 0.000, 0.227], [0.000, 0.500, 0.773], [0.000, 0.000, 0.500], [0.500, 0.000, 0.878], [0.000, 0.500, 0.122], [0.500, 0.500, 0.000], [0.000, 0.000, 0.000], [0.500, 0.000, 0.657], [0.000, 0.500, 0.343]]}

---

Number 1: E -4.58 eV/atom, size of the total moment 0.00 μB/f.u.. Number 2: E -3.00 eV/atom, size of the total moment 1.33 μB/f.u.. Number 3: E -1.15 eV/atom, size of the total moment 0.00 μB/f.u.. Number 4: E -3.86 eV/atom, size of the total moment 5.25 μB/f.u.. Number 5: E -2.86 eV/atom, size of the total moment 0.00 μB/f.u.. Number 6: E -5.82 eV/atom, size of the total moment 0.00 μB/f.u.. Number 7: E -7.30 eV/atom, size of the total moment 1.00 μB/f.u.. Number 8: E -4.09 eV/atom, size of the total moment 0.13 μB/f.u.. Number 9: E -5.24 eV/atom, size of the total moment 0.00 μB/f.u.. Number 10: E -4.01 eV/atom, size of the total moment 1.00 μB/f.u.. Number 11: E -6.57 eV/atom, size of the total moment 0.00 μB/f.u.. Number 12: E -5.72 eV/atom, size of the total moment 0.00 μB/f.u..